# 1
The following is a DFT calculation (PBE) of crystalline Na4Y3MgTe8 at its relaxed geometry.

CIF file:
```
data_Na4Y3MgTe8
_cell_length_a 8.7196
_cell_length_b 8.7196
_cell_length_c 22.9716
_cell_angle_alpha 90.00
_cell_angle_beta 90.00
_cell_angle_gamma 120.00
_symmetry_space_group_name_H-M 'R -3 m'
_symmetry_Int_Tables_number 166
_symmetry_space_group_name_Hall '-R 3 2"'
loop_
_atom_site_label
_atom_site_type_symbol
_atom_site_fract_x
_atom_site_fract_y
_atom_site_fract_z
_atom_site_occupancy
Na1 Na 0.0000 0.0000 0.0000 1
Na2 Na 0.0000 0.5000 0.0000 1
Y1 Y 0.0000 0.5000 0.5000 1
Mg1 Mg 0.0000 0.0000 0.5000 1
Te1 Te 0.0000 0.0000 0.2448 1
Te2 Te 0.0058 0.5029 0.2429 1
```

Computed properties:
**Total energy**: -4.3729 eV/atom
**ΔE_f (raw)**: -1161 meV/atom



# 2
The following is a DFT calculation (PBE) of crystalline NaMg2ZnTe at its relaxed geometry.

CIF file:
```
data_NaMg2ZnTe
_cell_length_a 5.6831
_cell_length_b 5.6831
_cell_length_c 5.7079
_cell_angle_alpha 90.00
_cell_angle_beta 90.00
_cell_angle_gamma 90.00
_symmetry_space_group_name_H-M 'P 4/m m m'
_symmetry_Int_Tables_number 123
_symmetry_space_group_name_Hall '-P 4 2'
loop_
_atom_site_label
_atom_site_type_symbol
_atom_site_fract_x
_atom_site_fract_y
_atom_site_fract_z
_atom_site_occupancy
Na1 Na 0.0000 0.0000 0.0000 1
Mg1 Mg 0.0000 0.5000 0.5000 1
Zn1 Zn 0.5000 0.5000 0.0000 1
Te1 Te 0.0000 0.0000 0.5000 1
```

Computed properties:
**Total energy**: -1.5904 eV/atom
**ΔE_f (raw)**: 194 meV/atom



# 3
The following is a DFT calculation (PBE) of crystalline Na3MgZr3Te8 at its relaxed geometry.

CIF file:
```
data_Na3MgZr3Te8
_cell_length_a 14.3684
_cell_length_b 8.2904
_cell_length_c 9.0931
_cell_angle_alpha 90.00
_cell_angle_beta 121.82
_cell_angle_gamma 90.00
_symmetry_space_group_name_H-M 'C 1 2/m 1'
_symmetry_Int_Tables_number 12
loop_
_symmetry_equiv_pos_as_xyz
'x,y,z'
'-x,-y,-z'
'-x,y,-z'
'x,-y,z'
'x+1/2,y+1/2,z'
'-x+1/2,-y+1/2,-z'
'-x+1/2,y+1/2,-z'
'x+1/2,-y+1/2,z'
loop_
_atom_site_label
_atom_site_type_symbol
_atom_site_fract_x
_atom_site_fract_y
_atom_site_fract_z
_atom_site_occupancy
Na1 Na 0.0000 0.0000 0.0000 1
Na2 Na 0.2500 0.2500 0.0000 1
Mg1 Mg 0.0000 0.0000 0.5000 1
Zr1 Zr 0.0000 0.5000 0.5000 1
Zr2 Zr 0.2500 0.2500 0.5000 1
Te1 Te 0.0108 0.2540 0.2784 1
Te2 Te 0.2414 0.5000 0.7243 1
Te3 Te 0.2433 0.0000 0.7218 1
```

Computed properties:
**Total energy**: -4.6398 eV/atom
**ΔE_f (raw)**: -884 meV/atom



# 4
The following is a DFT calculation (PBE) of crystalline NaThMg4 at its relaxed geometry.

CIF file:
```
data_NaThMg4
_cell_length_a 8.6104
_cell_length_b 8.6104
_cell_length_c 8.6104
_cell_angle_alpha 90.00
_cell_angle_beta 90.00
_cell_angle_gamma 90.00
_symmetry_space_group_name_H-M 'F -4 3 m'
_symmetry_Int_Tables_number 216
_symmetry_space_group_name_Hall 'F -4 2 3'
loop_
_atom_site_label
_atom_site_type_symbol
_atom_site_fract_x
_atom_site_fract_y
_atom_site_fract_z
_atom_site_occupancy
Na1 Na 0.0000 0.0000 0.0000 1
Th1 Th 0.2500 0.2500 0.2500 1
Mg1 Mg 0.1237 0.1237 0.6237 1
```

Computed properties:
**Total energy**: -2.3699 eV/atom
**Formation energy from the elements**: 0.1497 eV per atom



# 5
The following is a DFT calculation (PBE) of crystalline NaThMg17 at its relaxed geometry.

CIF file:
```
data_NaThMg17
_cell_length_a 10.3011
_cell_length_b 10.3011
_cell_length_c 15.3277
_cell_angle_alpha 90.00
_cell_angle_beta 90.00
_cell_angle_gamma 120.00
_symmetry_space_group_name_H-M 'R 3 m'
_symmetry_Int_Tables_number 160
_symmetry_space_group_name_Hall 'R 3 -2"'
loop_
_atom_site_label
_atom_site_type_symbol
_atom_site_fract_x
_atom_site_fract_y
_atom_site_fract_z
_atom_site_occupancy
Na1 Na 0.0000 0.0000 0.0000 1
Th1 Th 0.0000 0.0000 0.3281 1
Mg1 Mg 0.0000 0.0000 0.5592 1
Mg2 Mg 0.0000 0.0000 0.7578 1
Mg3 Mg 0.9996 0.3030 0.6578 1
Mg4 Mg 0.0049 0.5024 0.8115 1
Mg5 Mg 0.0086 0.5043 0.1547 1
Mg6 Mg 0.1707 0.3413 0.8405 1
```

Computed properties:
**Total energy**: -1.8493 eV/atom
**Formation energy from the elements**: 0.0373 eV per atom



# 6
The following is a DFT calculation (PBE) of crystalline NaMg3Ti at its relaxed geometry.

CIF file:
```
data_NaMg3Ti
_cell_length_a 5.5247
_cell_length_b 5.5247
_cell_length_c 5.5247
_cell_angle_alpha 90.00
_cell_angle_beta 90.00
_cell_angle_gamma 90.00
_symmetry_space_group_name_H-M 'P m -3 m'
_symmetry_Int_Tables_number 221
_symmetry_space_group_name_Hall '-P 4 2 3'
loop_
_atom_site_label
_atom_site_type_symbol
_atom_site_fract_x
_atom_site_fract_y
_atom_site_fract_z
_atom_site_occupancy
Na1 Na 0.0000 0.0000 0.0000 1
Mg1 Mg 0.0000 0.5000 0.5000 1
Ti1 Ti 0.5000 0.5000 0.5000 1
```

Computed properties:
**Total energy**: -2.0428 eV/atom
**Formation energy from the elements**: 0.7568 eV per atom



# 7
The following is a DFT calculation (PBE) of crystalline Na3MgTi at its relaxed geometry.

CIF file:
```
data_Na3MgTi
_cell_length_a 5.6596
_cell_length_b 5.6596
_cell_length_c 5.6596
_cell_angle_alpha 90.00
_cell_angle_beta 90.00
_cell_angle_gamma 90.00
_symmetry_space_group_name_H-M 'P m -3 m'
_symmetry_Int_Tables_number 221
_symmetry_space_group_name_Hall '-P 4 2 3'
loop_
_atom_site_label
_atom_site_type_symbol
_atom_site_fract_x
_atom_site_fract_y
_atom_site_fract_z
_atom_site_occupancy
Na1 Na 0.0000 0.0000 0.5000 1
Mg1 Mg 0.0000 0.0000 0.0000 1
Ti1 Ti 0.5000 0.5000 0.5000 1
```

Computed properties:
**Total energy**: -1.5910 eV/atom
**Formation energy from the elements**: 1.0984 eV per atom



# 8
The following is a DFT calculation (PBE) of crystalline Na3MgTi at its relaxed geometry.

CIF file:
```
data_Na3MgTi
_cell_length_a 5.9265
_cell_length_b 5.9265
_cell_length_c 5.9265
_cell_angle_alpha 90.00
_cell_angle_beta 90.00
_cell_angle_gamma 90.00
_symmetry_space_group_name_H-M 'P m -3 m'
_symmetry_Int_Tables_number 221
_symmetry_space_group_name_Hall '-P 4 2 3'
loop_
_atom_site_label
_atom_site_type_symbol
_atom_site_fract_x
_atom_site_fract_y
_atom_site_fract_z
_atom_site_occupancy
Na1 Na 0.0000 0.0000 0.5000 1
Mg1 Mg 0.5000 0.5000 0.5000 1
Ti1 Ti 0.0000 0.0000 0.0000 1
```

Computed properties:
**Total energy**: -1.6323 eV/atom
**Formation energy from the elements**: 1.0571 eV per atom



# 9
The following is a DFT calculation (PBE) of crystalline Na2MgTi at its relaxed geometry.

CIF file:
```
data_Na2MgTi
_cell_length_a 8.5846
_cell_length_b 8.5846
_cell_length_c 6.1295
_cell_angle_alpha 90.00
_cell_angle_beta 90.00
_cell_angle_gamma 90.00
_symmetry_space_group_name_H-M 'I -4 2 d'
_symmetry_Int_Tables_number 122
_symmetry_space_group_name_Hall 'I -4 2bw'
loop_
_atom_site_label
_atom_site_type_symbol
_atom_site_fract_x
_atom_site_fract_y
_atom_site_fract_z
_atom_site_occupancy
Na1 Na 0.2417 0.7500 0.1250 1
Mg1 Mg 0.0000 0.0000 0.0000 1
Ti1 Ti 0.0000 0.0000 0.5000 1
```

Computed properties:
**Total energy**: -2.2507 eV/atom
**Formation energy from the elements**: 0.7812 eV per atom



# 10
The following is a DFT calculation (PBE) of crystalline NaMg6Ti at its relaxed geometry.

CIF file:
```
data_NaMg6Ti
_cell_length_a 6.3865
_cell_length_b 6.3865
_cell_length_c 4.5023
_cell_angle_alpha 90.00
_cell_angle_beta 90.00
_cell_angle_gamma 90.00
_symmetry_space_group_name_H-M 'P 4/m m m'
_symmetry_Int_Tables_number 123
_symmetry_space_group_name_Hall '-P 4 2'
loop_
_atom_site_label
_atom_site_type_symbol
_atom_site_fract_x
_atom_site_fract_y
_atom_site_fract_z
_atom_site_occupancy
Na1 Na 0.0000 0.0000 0.0000 1
Mg1 Mg 0.0000 0.5000 0.0000 1
Mg2 Mg 0.2646 0.2646 0.5000 1
Ti1 Ti 0.5000 0.5000 0.0000 1
```

Computed properties:
**Total energy**: -2.2232 eV/atom
**Formation energy from the elements**: 0.1245 eV per atom



# 11
The following is a DFT calculation (PBE) of crystalline NaMg6Ti at its relaxed geometry.

CIF file:
```
data_NaMg6Ti
_cell_length_a 6.4008
_cell_length_b 6.4008
_cell_length_c 5.1243
_cell_angle_alpha 90.00
_cell_angle_beta 90.00
_cell_angle_gamma 120.00
_symmetry_space_group_name_H-M 'P -6 m 2'
_symmetry_Int_Tables_number 187
_symmetry_space_group_name_Hall 'P -6 2'
loop_
_atom_site_label
_atom_site_type_symbol
_atom_site_fract_x
_atom_site_fract_y
_atom_site_fract_z
_atom_site_occupancy
Na1 Na 0.0000 0.0000 0.0000 1
Mg1 Mg 0.1703 0.3405 0.5000 1
Mg2 Mg 0.5066 0.0132 0.0000 1
Ti1 Ti 0.6667 0.3333 0.5000 1
```

Computed properties:
**Total energy**: -2.2219 eV/atom
**Formation energy from the elements**: 0.1258 eV per atom



# 12
The following is a DFT calculation (PBE) of crystalline NaMgTiV2 at its relaxed geometry.

CIF file:
```
data_NaMgTiV2
_cell_length_a 4.9933
_cell_length_b 4.9933
_cell_length_c 5.1142
_cell_angle_alpha 90.00
_cell_angle_beta 90.00
_cell_angle_gamma 90.00
_symmetry_space_group_name_H-M 'P 4/m m m'
_symmetry_Int_Tables_number 123
_symmetry_space_group_name_Hall '-P 4 2'
loop_
_atom_site_label
_atom_site_type_symbol
_atom_site_fract_x
_atom_site_fract_y
_atom_site_fract_z
_atom_site_occupancy
Na1 Na 0.0000 0.0000 0.0000 1
Mg1 Mg 0.5000 0.5000 0.5000 1
Ti1 Ti 0.5000 0.5000 0.0000 1
V1 V 0.0000 0.5000 0.5000 1
```

Computed properties:
**Total energy**: -4.2411 eV/atom
**Formation energy from the elements**: 1.5681 eV per atom



| no. | magnetization (μB per formula unit) |
| --- | --- |
| 1 | 0.00 |
| 2 | 0.00 |
| 3 | 0.00 |
| 4 | 0.00 |
| 5 | 0.00 |
| 6 | 3.43 |
| 7 | 0.17 |
| 8 | 3.47 |
| 9 | 2.94 |
| 10 | 1.79 |
| 11 | 1.76 |
| 12 | 5.02 |